Entry 1:
CrTc3B after structural relaxation. Source: Alexandria, functional PBE.

Lattice parameters (Å, degrees): 4.914 4.914 7.404 111.48 111.48 50.60
Fractional positions:
Cr1 0.113 0.113 0.439
Cr2 0.887 0.887 0.561
Tc1 0.118 0.118 0.924
Tc2 0.360 0.360 0.344
Tc3 0.364 0.364 0.766
Tc4 0.636 0.636 0.234
Tc5 0.640 0.640 0.656
Tc6 0.882 0.882 0.076
B1 0.378 0.378 0.065
B2 0.622 0.622 0.935

Properties
* ΔE to the lowest computed polymorph: 0.000 eV per formula unit
* E_tot: -9.455 eV/atom
* D(E_F): 1.048 states/eV per atom
* space-group type: C2/m, No. 12
* formation energy: 0.0247 eV/atom



Entry 2:
Cr3TcB after structural relaxation. Source: Alexandria, functional PBE.

Lattice parameters (Å, degrees): 4.570 4.570 4.570 90.00 90.00 90.00
Fractional positions:
Cr1 0.000 0.000 0.500
Cr2 0.000 0.500 0.000
Cr3 0.500 0.000 0.000
Tc1 0.000 0.000 0.000
B1 0.500 0.500 0.500

Properties
* ΔE to the lowest computed polymorph: 9.164 eV per formula unit
* E_tot: -7.101 eV/atom
* D(E_F): 0.727 states/eV per atom
* space-group type: Pm-3m, No. 221
* formation energy: 2.0813 eV/atom



Entry 3:
Cr3TcB after structural relaxation. Source: Alexandria, functional PBE.

Lattice parameters (Å, degrees): 3.883 3.883 3.883 90.00 90.00 90.00
Fractional positions:
Cr1 0.000 0.000 0.500
Cr2 0.000 0.500 0.000
Cr3 0.500 0.000 0.000
Tc1 0.500 0.500 0.500
B1 0.000 0.000 0.000

Properties
* ΔE to the lowest computed polymorph: 0.000 eV per formula unit
* E_tot: -8.934 eV/atom
* D(E_F): 1.186 states/eV per atom
* space-group type: Pm-3m, No. 221
* formation energy: 0.2484 eV/atom



Entry 4:
Cr2TcB after structural relaxation. Source: Alexandria, functional PBE.

Lattice parameters (Å, degrees): 5.153 5.153 5.153 100.04 100.04 130.64
Fractional positions:
Cr1 0.031 0.125 0.406
Cr2 0.375 0.969 0.094
Cr3 0.719 0.625 0.594
Cr4 0.875 0.281 0.906
Tc1 0.250 0.750 0.500
Tc2 0.500 0.500 0.000
B1 0.000 0.000 0.000
B2 0.750 0.250 0.500

Properties
* E_tot: -8.800 eV/atom
* D(E_F): 0.993 states/eV per atom
* space-group type: I-42d, No. 122
* formation energy: 0.2721 eV/atom